# 1
! CsTh2Se5 | Alexandria via LeMat-Bulk | PBE | relaxed; values from VASP
&SYSTEM
  ibrav = 0, nat = 8, ntyp = 3
/
ATOMIC_SPECIES
Th 232.04 Th.upf
Se 78.96 Se.upf
Cs 132.91 Cs.upf
ATOMIC_POSITIONS crystal
Th 0.8074 0.6926 0.6926
Se 0.0000 0.5000 0.5000
Cs 0.0000 0.0000 0.0000
Se 0.6563 0.0953 0.5921
Se 0.3437 0.4079 0.9047
Th 0.1926 0.3074 0.3074
Se 0.6563 0.5921 0.0953
Se 0.3437 0.9047 0.4079
CELL_PARAMETERS angstrom
-4.0251 0.4035 -1.9659
-5.4977 -4.5813 5.1710
-5.3710 2.7952 6.4258
! energy relative to the elements, uncorrected: -1.5338 eV per atom

# 2
! Ac5Ho4Tl4 | Alexandria via LeMat-Bulk | PBE | relaxed; values from VASP
&SYSTEM
  ibrav = 0, nat = 13, ntyp = 3
/
ATOMIC_SPECIES
Ho 164.93 Ho.upf
Tl 204.38 Tl.upf
Ac 227.00 Ac.upf
ATOMIC_POSITIONS crystal
Ho 0.5826 0.3207 0.5142
Tl 0.7497 0.3194 0.1813
Ac 0.7015 0.9242 0.6728
Tl 0.9309 0.8187 0.3194
Tl 0.2503 0.6806 0.8187
Ac 0.0000 0.0000 0.0000
Ac 0.2985 0.0758 0.3272
Ac 0.6257 0.6728 0.0758
Ho 0.0968 0.4858 0.3207
Ho 0.9032 0.5142 0.6793
Tl 0.0691 0.1813 0.6806
Ac 0.3743 0.3272 0.9242
Ho 0.4174 0.6793 0.4858
CELL_PARAMETERS angstrom
4.8955 0.0000 1.2447
2.4478 9.5417 0.6224
0.0966 0.0000 9.8699
! energy of formation: -232 meV/atom

# 3
! Hf2AlBi2 | Alexandria via LeMat-Bulk | PBE | relaxed; values from VASP
&SYSTEM
  ibrav = 0, nat = 10, ntyp = 3
/
ATOMIC_SPECIES
Bi 208.98 Bi.upf
Hf 178.49 Hf.upf
Al 26.98 Al.upf
ATOMIC_POSITIONS crystal
Bi 0.8437 0.3437 0.5000
Hf 0.6475 0.1475 0.0000
Bi 0.3437 0.1563 0.5000
Al 0.0000 0.0000 0.0000
Hf 0.8525 0.6475 0.0000
Bi 0.6563 0.8437 0.5000
Hf 0.3525 0.8525 0.0000
Bi 0.1563 0.6563 0.5000
Hf 0.1475 0.3525 0.0000
Al 0.5000 0.5000 0.0000
CELL_PARAMETERS angstrom
7.7149 0.0000 0.0000
0.0000 7.7149 0.0000
0.0000 0.0000 4.1105
! energy of formation: 16 meV/atom

# 4
! Y2AgBr | Alexandria via LeMat-Bulk | PBE | relaxed; values from VASP
&SYSTEM
  ibrav = 0, nat = 4, ntyp = 3
/
ATOMIC_SPECIES
Ag 107.87 Ag.upf
Br 79.90 Br.upf
Y 88.91 Y.upf
ATOMIC_POSITIONS crystal
Ag 0.7500 0.7500 0.7500
Br 0.2500 0.2500 0.2500
Y 0.0068 0.0068 0.9787
Y 0.4932 0.4932 0.5213
CELL_PARAMETERS angstrom
-2.4141 -3.2880 0.6567
1.6766 -3.7521 0.4248
0.2876 -1.2773 7.6291
! energy relative to the elements, uncorrected: -0.5835 eV per atom

# 5
! MgPt4 | Alexandria via LeMat-Bulk | PBE | relaxed; values from VASP
&SYSTEM
  ibrav = 0, nat = 10, ntyp = 2
/
ATOMIC_SPECIES
Pt 195.08 Pt.upf
Mg 24.30 Mg.upf
ATOMIC_POSITIONS crystal
Pt 0.1000 0.3500 0.2000
Mg 0.1030 0.8530 0.2061
Pt 0.6921 0.1951 0.3842
Pt 0.9000 0.6500 0.8000
Pt 0.6921 0.6891 0.3842
Pt 0.3079 0.8049 0.6158
Mg 0.8970 0.1470 0.7939
Pt 0.3079 0.3109 0.6158
Pt 0.5000 0.0000 0.0000
Pt 0.5000 0.5000 0.0000
CELL_PARAMETERS angstrom
3.9665 0.0000 -1.1585
-0.6162 5.0680 -2.1098
0.1209 0.2442 7.7832
! energy of formation: -423 meV/atom

# 6
! LiNb2FeTc | Alexandria via LeMat-Bulk | PBE | relaxed; values from VASP
&SYSTEM
  ibrav = 0, nat = 5, ntyp = 4
/
ATOMIC_SPECIES
Fe 55.84 Fe.upf
Nb 92.91 Nb.upf
Tc 98.00 Tc.upf
Li 6.94 Li.upf
ATOMIC_POSITIONS crystal
Fe 0.0000 0.5000 0.0000
Nb 0.0000 0.0000 0.5000
Tc 0.5000 0.5000 0.5000
Li 0.0000 0.0000 0.0000
Nb 0.5000 0.0000 0.0000
CELL_PARAMETERS angstrom
4.5162 0.0000 0.0000
0.0000 3.6004 0.0000
0.0000 0.0000 4.5162
! energy of formation: 967 meV/atom

# 7
! MnReNi2 | Alexandria via LeMat-Bulk | PBE | relaxed; values from VASP
&SYSTEM
  ibrav = 0, nat = 4, ntyp = 3
/
ATOMIC_SPECIES
Ni 58.69 Ni.upf
Re 186.21 Re.upf
Mn 54.94 Mn.upf
ATOMIC_POSITIONS crystal
Ni 0.0000 0.0000 0.0000
Re 0.5000 0.0000 0.5000
Ni 0.5000 0.5000 0.0000
Mn 0.0000 0.5000 0.5000
CELL_PARAMETERS angstrom
3.5591 0.0000 0.0000
0.0000 3.5588 0.0000
0.0000 0.0000 3.7838
! energy of formation: 50 meV/atom

# 8
! Pm5Ge3 | Alexandria via LeMat-Bulk | PBE | relaxed; values from VASP
&SYSTEM
  ibrav = 0, nat = 16, ntyp = 2
/
ATOMIC_SPECIES
Pm 145.00 Pm.upf
Ge 72.64 Ge.upf
ATOMIC_POSITIONS crystal
Pm 0.9755 0.8167 0.2922
Pm 0.0245 0.1833 0.7078
Pm 0.1833 0.6833 0.7078
Pm 0.0000 0.0000 0.0000
Pm 0.4755 0.9755 0.2922
Ge 0.2500 0.2500 0.5000
Ge 0.1280 0.6280 0.0000
Ge 0.8720 0.3720 0.0000
Ge 0.6280 0.8720 0.0000
Pm 0.6833 0.5245 0.7078
Pm 0.5000 0.5000 0.0000
Pm 0.8167 0.3167 0.2922
Pm 0.3167 0.4755 0.2922
Ge 0.7500 0.7500 0.5000
Pm 0.5245 0.0245 0.7078
Ge 0.3720 0.1280 0.0000
CELL_PARAMETERS angstrom
7.0710 0.0000 -3.4554
-1.6886 6.8664 -3.4554
-0.0320 -0.0408 8.8972
! energy of formation: -701 meV/atom

# 9
! Sm2ThZr | Alexandria via LeMat-Bulk | PBE | relaxed; values from VASP
&SYSTEM
  ibrav = 0, nat = 4, ntyp = 3
/
ATOMIC_SPECIES
Sm 150.36 Sm.upf
Zr 91.22 Zr.upf
Th 232.04 Th.upf
ATOMIC_POSITIONS crystal
Sm 0.0872 0.0872 0.7391
Zr 0.5000 0.5000 0.4999
Sm 0.2465 0.2465 0.2605
Th 0.6664 0.6664 0.0005
CELL_PARAMETERS angstrom
-1.1541 -0.6931 3.2461
0.2548 -3.2562 1.2970
9.9167 1.1398 5.6690
! energy of formation: 111 meV/atom

# 10
! LiTmMg2Pd4 | Alexandria via LeMat-Bulk | PBE | relaxed; values from VASP
&SYSTEM
  ibrav = 0, nat = 8, ntyp = 4
/
ATOMIC_SPECIES
Tm 168.93 Tm.upf
Pd 106.42 Pd.upf
Mg 24.30 Mg.upf
Li 6.94 Li.upf
ATOMIC_POSITIONS crystal
Tm 0.0000 0.0000 0.0000
Pd 0.1254 0.1254 0.6237
Mg 0.7557 0.7557 0.7329
Pd 0.6186 0.6186 0.1443
Li 0.5000 0.5000 0.5000
Pd 0.8746 0.8746 0.3763
Mg 0.2443 0.2443 0.2671
Pd 0.3814 0.3814 0.8557
CELL_PARAMETERS angstrom
-1.3286 -3.7105 -2.3001
0.3804 -4.1265 1.9106
-7.2158 -1.9201 2.7389
! energy of formation: -722 meV/atom

# 11
! Pm4PrAu4 | Alexandria via LeMat-Bulk | PBE | relaxed; values from VASP
&SYSTEM
  ibrav = 0, nat = 18, ntyp = 3
/
ATOMIC_SPECIES
Pm 145.00 Pm.upf
Pr 140.91 Pr.upf
Au 196.97 Au.upf
ATOMIC_POSITIONS crystal
Pm 0.5882 0.0936 0.3142
Pm 0.9118 0.5936 0.8142
Pm 0.4118 0.3142 0.9064
Pr 0.0000 0.0000 0.0000
Pr 0.5000 0.5000 0.5000
Au 0.0970 0.1211 0.2861
Pm 0.5882 0.9064 0.6858
Au 0.0970 0.8789 0.7139
Au 0.4030 0.6211 0.7861
Au 0.9030 0.2861 0.8789
Au 0.5970 0.7861 0.3789
Au 0.5970 0.2139 0.6211
Pm 0.4118 0.6858 0.0936
Pm 0.0882 0.8142 0.4064
Pm 0.9118 0.4064 0.1858
Au 0.4030 0.3789 0.2139
Au 0.9030 0.7139 0.1211
Pm 0.0882 0.1858 0.5936
CELL_PARAMETERS angstrom
-3.9617 -3.6923 -2.8970
4.7658 -7.5015 3.0435
-5.3681 -0.2847 7.7039
! energy of formation: -566 meV/atom

# 12
! Ac3Pr6Sc | Alexandria via LeMat-Bulk | PBE | relaxed; values from VASP
&SYSTEM
  ibrav = 0, nat = 20, ntyp = 3
/
ATOMIC_SPECIES
Pr 140.91 Pr.upf
Sc 44.96 Sc.upf
Ac 227.00 Ac.upf
ATOMIC_POSITIONS crystal
Pr 0.7500 0.8550 0.8015
Sc 0.7500 0.0487 0.3999
Ac 0.7500 0.2451 0.9962
Pr 0.7500 0.7720 0.5058
Pr 0.2500 0.0462 0.8880
Pr 0.7500 0.5544 0.8984
Sc 0.2500 0.9513 0.6001
Pr 0.7500 0.9538 0.1120
Pr 0.2500 0.4456 0.1016
Ac 0.7500 0.6516 0.2060
Ac 0.2500 0.7549 0.0038
Pr 0.2500 0.1450 0.1985
Pr 0.7500 0.3341 0.3016
Pr 0.7500 0.1354 0.6834
Ac 0.2500 0.5500 0.4032
Ac 0.2500 0.3484 0.7940
Pr 0.2500 0.6659 0.6984
Pr 0.2500 0.2280 0.4942
Ac 0.7500 0.4500 0.5968
Pr 0.2500 0.8646 0.3166
CELL_PARAMETERS angstrom
-4.2281 -2.1685 2.4869
6.1227 -0.5253 9.9516
-3.9980 10.8958 2.7034
! energy of formation: 46 meV/atom